Record 1
First-principles (PBE-GGA) data for an optimized crystal structure of BaTl2SbPt, as listed in Alexandria.

```
data_BaTl2SbPt
_space_group_name_H-M_alt 'P 1'
_space_group_IT_number 1
_cell_length_a 5.302
_cell_length_b 5.302
_cell_length_c 6.127
_cell_angle_alpha 90.00
_cell_angle_beta 90.00
_cell_angle_gamma 90.00
loop_
_space_group_symop_operation_xyz
'x,y,z'
loop_
_atom_site_label
_atom_site_type_symbol
_atom_site_fract_x
_atom_site_fract_y
_atom_site_fract_z
Ba1 Ba 0.000 0.000 0.000
Tl1 Tl 0.000 0.500 0.500
Tl2 Tl 0.500 0.000 0.500
Sb1 Sb 0.500 0.500 0.000
Pt1 Pt 0.000 0.000 0.500
```

Output
The calculation puts the energy relative to the elements, uncorrected at -0.335 eV per atom.

Record 2
First-principles (PBE-GGA) data for an optimized crystal structure of YCdIO2, as listed in Alexandria.

```
data_YCdIO2
_space_group_name_H-M_alt 'P 1'
_space_group_IT_number 1
_cell_length_a 4.388
_cell_length_b 4.388
_cell_length_c 5.417
_cell_angle_alpha 90.00
_cell_angle_beta 90.00
_cell_angle_gamma 90.00
loop_
_space_group_symop_operation_xyz
'x,y,z'
loop_
_atom_site_label
_atom_site_type_symbol
_atom_site_fract_x
_atom_site_fract_y
_atom_site_fract_z
Y1 Y 0.000 0.000 0.000
Cd1 Cd 0.500 0.500 0.500
I1 I 0.500 0.500 0.000
O1 O 0.000 0.500 0.500
O2 O 0.500 0.000 0.500
```

Output
The calculation puts the energy relative to the elements, uncorrected at -0.475 eV per atom.

Record 3
First-principles (PBE-GGA) data for an optimized crystal structure of Tb2SiAu, as listed in Alexandria.

```
data_Tb2SiAu
_space_group_name_H-M_alt 'P 1'
_space_group_IT_number 1
_cell_length_a 6.979
_cell_length_b 6.979
_cell_length_c 6.979
_cell_angle_alpha 35.85
_cell_angle_beta 35.85
_cell_angle_gamma 35.85
loop_
_space_group_symop_operation_xyz
'x,y,z'
loop_
_atom_site_label
_atom_site_type_symbol
_atom_site_fract_x
_atom_site_fract_y
_atom_site_fract_z
Tb1 Tb 0.244 0.244 0.244
Tb2 Tb 0.756 0.756 0.756
Si1 Si 0.500 0.500 0.500
Au1 Au 0.000 0.000 0.000
```

Output
The calculation puts the energy relative to the elements, uncorrected at -0.624 eV per atom.

Record 4
First-principles (PBE-GGA) data for an optimized crystal structure of Pr2Dy12Th, as listed in Alexandria.

```
data_Pr2Dy12Th
_space_group_name_H-M_alt 'P 1'
_space_group_IT_number 1
_cell_length_a 6.707
_cell_length_b 6.707
_cell_length_c 24.806
_cell_angle_alpha 90.00
_cell_angle_beta 90.00
_cell_angle_gamma 116.96
loop_
_space_group_symop_operation_xyz
'x,y,z'
loop_
_atom_site_label
_atom_site_type_symbol
_atom_site_fract_x
_atom_site_fract_y
_atom_site_fract_z
Pr1 Pr 0.250 0.750 0.235
Pr2 Pr 0.250 0.750 0.771
Pr3 Pr 0.750 0.250 0.229
Pr4 Pr 0.750 0.250 0.765
Dy1 Dy 0.001 0.501 0.624
Dy2 Dy 0.001 0.999 0.424
Dy3 Dy 0.010 0.510 0.085
Dy4 Dy 0.012 0.988 0.938
Dy5 Dy 0.250 0.250 0.173
Dy6 Dy 0.250 0.250 0.302
Dy7 Dy 0.250 0.250 0.698
Dy8 Dy 0.250 0.250 0.827
Dy9 Dy 0.488 0.512 0.938
Dy10 Dy 0.490 0.990 0.085
Dy11 Dy 0.499 0.501 0.424
Dy12 Dy 0.499 0.999 0.624
Dy13 Dy 0.501 0.001 0.376
Dy14 Dy 0.501 0.499 0.576
Dy15 Dy 0.510 0.010 0.915
Dy16 Dy 0.512 0.488 0.062
Dy17 Dy 0.750 0.750 0.173
Dy18 Dy 0.750 0.750 0.302
Dy19 Dy 0.750 0.750 0.698
Dy20 Dy 0.750 0.750 0.827
Dy21 Dy 0.988 0.012 0.062
Dy22 Dy 0.990 0.490 0.915
Dy23 Dy 0.999 0.001 0.576
Dy24 Dy 0.999 0.499 0.376
Th1 Th 0.250 0.750 0.500
Th2 Th 0.750 0.250 0.500
```

Output
As for the formation energy: 0.173 eV per atom.

Record 5
First-principles (PBE-GGA) data for an optimized crystal structure of TlFeRu, as listed in Alexandria.

```
data_TlFeRu
_space_group_name_H-M_alt 'P 1'
_space_group_IT_number 1
_cell_length_a 4.278
_cell_length_b 4.278
_cell_length_c 3.156
_cell_angle_alpha 90.00
_cell_angle_beta 90.00
_cell_angle_gamma 120.00
loop_
_space_group_symop_operation_xyz
'x,y,z'
loop_
_atom_site_label
_atom_site_type_symbol
_atom_site_fract_x
_atom_site_fract_y
_atom_site_fract_z
Tl1 Tl 0.000 0.000 0.000
Fe1 Fe 0.333 0.667 0.445
Ru1 Ru 0.667 0.333 0.526
```

Output
As for the formation energy: 0.565 eV per atom.

Record 6
First-principles (PBE-GGA) data for an optimized crystal structure of WAu2, as listed in Alexandria.

```
data_WAu2
_space_group_name_H-M_alt 'P 1'
_space_group_IT_number 1
_cell_length_a 5.682
_cell_length_b 5.682
_cell_length_c 7.033
_cell_angle_alpha 103.79
_cell_angle_beta 103.79
_cell_angle_gamma 28.18
loop_
_space_group_symop_operation_xyz
'x,y,z'
loop_
_atom_site_label
_atom_site_type_symbol
_atom_site_fract_x
_atom_site_fract_y
_atom_site_fract_z
W1 W 0.000 0.000 0.000
W2 W 0.658 0.658 0.310
Au1 Au 0.276 0.276 0.040
Au2 Au 0.315 0.315 0.648
Au3 Au 0.590 0.590 0.714
Au4 Au 0.941 0.941 0.371
```

Output
As for the formation energy: 0.386 eV per atom.

Record 7
First-principles (PBE-GGA) data for an optimized crystal structure of Sm8P3CS3, as listed in Alexandria.

```
data_Sm8P3CS3
_space_group_name_H-M_alt 'P 1'
_space_group_IT_number 1
_cell_length_a 8.056
_cell_length_b 8.056
_cell_length_c 8.056
_cell_angle_alpha 60.09
_cell_angle_beta 60.09
_cell_angle_gamma 60.09
loop_
_space_group_symop_operation_xyz
'x,y,z'
loop_
_atom_site_label
_atom_site_type_symbol
_atom_site_fract_x
_atom_site_fract_y
_atom_site_fract_z
Sm1 Sm 0.225 0.772 0.772
Sm2 Sm 0.228 0.228 0.775
Sm3 Sm 0.228 0.775 0.228
Sm4 Sm 0.247 0.247 0.247
Sm5 Sm 0.753 0.753 0.753
Sm6 Sm 0.772 0.225 0.772
Sm7 Sm 0.772 0.772 0.225
Sm8 Sm 0.775 0.228 0.228
P1 P 0.000 0.000 0.500
P2 P 0.000 0.500 0.000
P3 P 0.500 0.000 0.000
C1 C 0.000 0.000 0.000
S1 S 0.000 0.500 0.500
S2 S 0.500 0.000 0.500
S3 S 0.500 0.500 0.000
```

Output
The calculation puts the energy relative to the elements, uncorrected at -1.506 eV per atom.

Record 8
First-principles (PBE-GGA) data for an optimized crystal structure of PaInGeN, as listed in Alexandria.

```
data_PaInGeN
_space_group_name_H-M_alt 'P 1'
_space_group_IT_number 1
_cell_length_a 4.064
_cell_length_b 4.064
_cell_length_c 9.497
_cell_angle_alpha 90.00
_cell_angle_beta 90.00
_cell_angle_gamma 90.00
loop_
_space_group_symop_operation_xyz
'x,y,z'
loop_
_atom_site_label
_atom_site_type_symbol
_atom_site_fract_x
_atom_site_fract_y
_atom_site_fract_z
Pa1 Pa 0.250 0.250 0.119
Pa2 Pa 0.750 0.750 0.881
In1 In 0.250 0.750 0.500
In2 In 0.750 0.250 0.500
Ge1 Ge 0.250 0.250 0.730
Ge2 Ge 0.750 0.750 0.270
N1 N 0.250 0.750 0.000
N2 N 0.750 0.250 0.000
```

Output
The calculation puts the energy relative to the elements, uncorrected at -0.711 eV per atom.

Record 9
First-principles (PBE-GGA) data for an optimized crystal structure of PrSm3Y6Tm2, as listed in Alexandria.

```
data_PrSm3Y6Tm2
_space_group_name_H-M_alt 'P 1'
_space_group_IT_number 1
_cell_length_a 6.205
_cell_length_b 6.205
_cell_length_c 11.863
_cell_angle_alpha 94.98
_cell_angle_beta 94.98
_cell_angle_gamma 119.96
loop_
_space_group_symop_operation_xyz
'x,y,z'
loop_
_atom_site_label
_atom_site_type_symbol
_atom_site_fract_x
_atom_site_fract_y
_atom_site_fract_z
Pr1 Pr 0.000 0.000 0.000
Sm1 Sm 0.167 0.833 0.500
Sm2 Sm 0.500 0.500 0.500
Sm3 Sm 0.833 0.167 0.500
Y1 Y 0.083 0.418 0.249
Y2 Y 0.251 0.251 0.751
Y3 Y 0.418 0.083 0.249
Y4 Y 0.582 0.917 0.751
Y5 Y 0.749 0.749 0.249
Y6 Y 0.917 0.582 0.751
Tm1 Tm 0.333 0.667 0.000
Tm2 Tm 0.667 0.333 0.000
```

Output
As for the formation energy: 0.019 eV per atom.

Record 10
First-principles (PBE-GGA) data for an optimized crystal structure of CeMg2CdAu4, as listed in Alexandria.

```
data_CeMg2CdAu4
_space_group_name_H-M_alt 'P 1'
_space_group_IT_number 1
_cell_length_a 9.309
_cell_length_b 9.309
_cell_length_c 9.309
_cell_angle_alpha 29.11
_cell_angle_beta 29.11
_cell_angle_gamma 29.11
loop_
_space_group_symop_operation_xyz
'x,y,z'
loop_
_atom_site_label
_atom_site_type_symbol
_atom_site_fract_x
_atom_site_fract_y
_atom_site_fract_z
Ce1 Ce 0.000 0.000 0.000
Mg1 Mg 0.239 0.239 0.239
Mg2 Mg 0.761 0.761 0.761
Cd1 Cd 0.500 0.500 0.500
Au1 Au 0.121 0.121 0.121
Au2 Au 0.392 0.392 0.392
Au3 Au 0.608 0.608 0.608
Au4 Au 0.879 0.879 0.879
```

Output
As for the formation energy: -0.514 eV per atom.

Record 11
First-principles (PBE-GGA) data for an optimized crystal structure of Tl2TcAs, as listed in Alexandria.

```
data_Tl2TcAs
_space_group_name_H-M_alt 'P 1'
_space_group_IT_number 1
_cell_length_a 4.937
_cell_length_b 4.937
_cell_length_c 4.937
_cell_angle_alpha 60.00
_cell_angle_beta 60.00
_cell_angle_gamma 60.00
loop_
_space_group_symop_operation_xyz
'x,y,z'
loop_
_atom_site_label
_atom_site_type_symbol
_atom_site_fract_x
_atom_site_fract_y
_atom_site_fract_z
Tl1 Tl 0.250 0.250 0.250
Tl2 Tl 0.750 0.750 0.750
Tc1 Tc 0.000 0.000 0.000
As1 As 0.500 0.500 0.500
```

Output
As for the formation energy: 0.873 eV per atom.